## a
9
Lattice="-2.620 -2.708 -5.221 -4.523 -2.726 3.684 -3.760 5.166 -0.793" Properties=species:S:1:pos:R:3 comment="TbTlAg3Se4 (PBE, optimized geometry)" volume_a3_per_cell=266.9 magnetic_moment_mub_per_atom=0.0021 crystal_system=cubic pbc="T T T"
Ag -1.310 -1.354 -2.610
Ag -2.261 -1.363 1.842
Ag -1.880 2.583 -0.397
Se -3.995 -1.458 -3.251
Se -4.974 -1.467 1.329
Se -4.581 2.592 -0.974
Se -8.255 -0.203 -1.764
Tb 0.000 0.000 0.000
Tl -5.451 -0.134 -1.165

***

## b
18
Lattice="-5.719 -2.172 -1.121 1.752 -0.819 -7.349 5.782 -8.379 2.313" Properties=species:S:1:pos:R:3 comment="TbTlAg3Se4 (PBE, optimized geometry)" volume_a3_per_cell=475.3 magnetic_moment_mub_per_atom=0.0026 crystal_system=monoclinic pbc="T T T"
Ag 1.333 -1.979 -1.426
Ag 1.639 -4.381 0.421
Ag 2.311 -4.695 -2.397
Ag -0.496 -6.676 -3.761
Ag 0.176 -6.990 -6.579
Ag 0.482 -9.391 -4.732
Se -1.000 -1.278 -2.061
Se -2.409 -4.552 -4.231
Se -1.638 -4.913 -7.466
Se 1.326 -5.205 -4.997
Se 0.489 -6.165 -1.161
Se 3.453 -6.458 1.308
Se 4.224 -6.818 -1.926
Se 2.815 -10.092 -4.097
Tb -1.239 -3.994 -1.815
Tb 3.054 -7.377 -4.343
Tl 0.293 -2.045 -5.596
Tl 1.522 -9.326 -0.562

***

Most stable structure - a; separation to the second - 6 meV per atom.